First-principles (PBE-GGA) data for an optimized crystal structure of ScCuOs, as listed in the Alexandria database.

```
data_ScCuOs
_chemical_formula_sum 'Sc2 Cu2 Os2'
_space_group_name_H-M_alt 'I m m 2'
_space_group_IT_number 44
_cell_length_a 2.7630
_cell_length_b 3.9584
_cell_length_c 8.5484
_cell_angle_alpha 90.00
_cell_angle_beta 90.00
_cell_angle_gamma 90.00
loop_
_space_group_symop_operation_xyz
'x,y,z'
'-x,-y,z'
'-x,y,z'
'x,-y,z'
'x+1/2,y+1/2,z+1/2'
'-x+1/2,-y+1/2,z+1/2'
'-x+1/2,y+1/2,z+1/2'
'x+1/2,-y+1/2,z+1/2'
loop_
_atom_site_label
_atom_site_type_symbol
_atom_site_fract_x
_atom_site_fract_y
_atom_site_fract_z
Sc1 Sc 0.0000 0.0000 0.0000
Cu1 Cu 0.0000 0.0000 0.6803
Os1 Os 0.0000 0.0000 0.3276
```

The value obtained for the formation energy is 0.07 eV/f.u. Its offset from the most stable computed form is 336 meV/atom. The calculated volume is 93.5 Å³ per cell.